Compound: BaNi2SbAs
Source: OQMD
Functional: PBE
Structure: relaxed

```
BaNi2SbAs
1.0
4.500 0.000 0.000
0.000 4.500 0.000
0.000 0.000 10.286
As Ba Ni Sb
2 2 4 2
Cartesian
0.000 0.000 5.143
2.250 2.250 5.143
0.000 2.250 2.673
2.250 0.000 7.613
0.000 0.000 0.000
2.250 2.250 0.000
2.250 0.000 4.112
0.000 2.250 6.174
2.250 0.000 1.289
0.000 2.250 8.997
```

- energy (eV per atom) = -4.94
- symmetry = P4/nmm
- V (Å³/f.u.) = 104.2
- mass density (Mg/m³) = 7.2
- M_tot (μB/atom) = 0.000